Entry from Alexandria via LeMat-Bulk: a relaxed structure of Mo2Ir2Ru (PBE).

Cell: 8.733 3.895 6.142 Å, 90.00 134.53 90.00°
Fractional positions:
Mo 0.090 0.000 0.295
Mo 0.410 0.500 0.705
Mo 0.590 0.500 0.295
Mo 0.910 0.000 0.705
Ir 0.199 0.500 0.101
Ir 0.301 0.000 0.899
Ir 0.699 0.000 0.101
Ir 0.801 0.500 0.899
Ru 0.000 0.500 0.500
Ru 0.500 0.000 0.500

Output
- formation energy (eV per atom) = -0.1463
- space group = C2/m, No. 12

---

Entry from Alexandria via LeMat-Bulk: a relaxed structure of TaAsCl2 (PBE).

Cell: 4.409 4.409 13.583 Å, 90.00 90.00 120.00°
Fractional positions:
Ta 0.000 0.000 0.000
Ta 0.333 0.667 0.667
Ta 0.667 0.333 0.333
As 0.000 0.000 0.207
As 0.333 0.667 0.873
As 0.667 0.333 0.540
Cl 0.000 0.000 0.418
Cl 0.000 0.000 0.656
Cl 0.333 0.667 0.084
Cl 0.333 0.667 0.322
Cl 0.667 0.333 0.751
Cl 0.667 0.333 0.989

Output
- space group = R3m, No. 160
- energy relative to the elements, uncorrected (eV per atom) = -0.06

---

Entry from Alexandria via LeMat-Bulk: a relaxed structure of PmMgScHg (PBE).

Cell: 7.387 7.387 7.387 Å, 90.00 90.00 90.00°
Fractional positions:
Pm 0.000 0.000 0.000
Pm 0.000 0.500 0.500
Pm 0.500 0.000 0.500
Pm 0.500 0.500 0.000
Mg 0.250 0.250 0.250
Mg 0.250 0.750 0.750
Mg 0.750 0.250 0.750
Mg 0.750 0.750 0.250
Sc 0.000 0.000 0.500
Sc 0.000 0.500 0.000
Sc 0.500 0.000 0.000
Sc 0.500 0.500 0.500
Hg 0.250 0.250 0.750
Hg 0.250 0.750 0.250
Hg 0.750 0.250 0.250
Hg 0.750 0.750 0.750

Output
- formation energy (eV per atom) = -0.2375
- space group = F-43m, No. 216

---

Entry from Alexandria via LeMat-Bulk: a relaxed structure of TlTe2 (PBE).

Cell: 5.222 5.222 4.477 Å, 90.00 90.00 120.00°
Fractional positions:
Tl 0.000 0.000 0.000
Te 0.333 0.667 0.440
Te 0.667 0.333 0.560

Output
- space group = P-3m1, No. 164
- energy relative to the elements, uncorrected (eV per atom) = 0.01

---

Entry from Alexandria via LeMat-Bulk: a relaxed structure of InAg2Cl (PBE).

Cell: 13.002 3.451 4.760 Å, 90.00 106.28 90.00°
Fractional positions:
In 0.000 0.000 0.000
In 0.500 0.500 0.000
Ag 0.023 0.500 0.544
Ag 0.349 0.500 0.329
Ag 0.523 0.000 0.544
Ag 0.849 0.000 0.329
Cl 0.203 0.000 0.412
Cl 0.703 0.500 0.412

Output
- space group = Cm, No. 8
- energy relative to the elements, uncorrected (eV per atom) = -0.14

---

Entry from Alexandria via LeMat-Bulk: a relaxed structure of Pm7Pr2Ho3 (PBE).

Cell: 6.468 3.578 17.726 Å, 90.00 95.99 90.00°
Fractional positions:
Pm 0.000 0.000 0.000
Pm 0.228 0.500 0.169
Pm 0.258 0.500 0.497
Pm 0.277 0.000 0.836
Pm 0.723 0.000 0.164
Pm 0.742 0.500 0.503
Pm 0.772 0.500 0.831
Pr 0.058 0.500 0.671
Pr 0.942 0.500 0.329
Ho 0.454 0.000 0.341
Ho 0.500 0.500 0.000
Ho 0.546 0.000 0.659

Output
- formation energy (eV per atom) = 0.0667
- space group = P2/m, No. 10

---

no.,size of the total moment (μB/atom),E (eV per formula unit)
1,0.00,-49.392
2,0.00,-20.450
3,0.10,-13.928
4,0.00,-8.634
5,0.00,-10.848
6,0.00,-55.746